Entry 1:
# TbMn2Pd8, relaxed, DFT GGA-PBE
data_TbMn2Pd8
_chemical_formula_sum 'Tb2 Mn4 Pd16'
_cell_length_a 14.280
_cell_length_b 4.077
_cell_length_c 6.372
_cell_angle_alpha 90.00
_cell_angle_beta 106.53
_cell_angle_gamma 90.00
_space_group_name_H-M_alt 'C 1 2/m 1'
_space_group_IT_number 12
_space_group_name_Hall '-C 2y'
loop_
_atom_site_label
_atom_site_type_symbol
_atom_site_fract_x
_atom_site_fract_y
_atom_site_fract_z
_atom_site_occupancy
Tb1 Tb 0.000 0.000 0.000 1
Mn1 Mn 0.225 0.500 0.653 1
Pd1 Pd 0.046 0.500 0.721 1
Pd2 Pd 0.100 0.000 0.469 1
Pd3 Pd 0.146 0.500 0.205 1
Pd4 Pd 0.184 0.000 0.918 1
# Calculated formation energy, eV/atom: -0.413
# Size of the total moment, μB per formula unit: 9.253

=====

Entry 2:
# TbMnPd4, relaxed, DFT GGA-PBE
data_TbMnPd4
_chemical_formula_sum 'Tb4 Mn4 Pd16'
_cell_length_a 7.538
_cell_length_b 7.538
_cell_length_c 7.538
_cell_angle_alpha 90.00
_cell_angle_beta 90.00
_cell_angle_gamma 90.00
_space_group_name_H-M_alt 'F -4 3 m'
_space_group_IT_number 216
_space_group_name_Hall 'F -4 2 3'
loop_
_atom_site_label
_atom_site_type_symbol
_atom_site_fract_x
_atom_site_fract_y
_atom_site_fract_z
_atom_site_occupancy
Tb1 Tb 0.000 0.000 0.000 1
Mn1 Mn 0.250 0.250 0.250 1
Pd1 Pd 0.124 0.124 0.624 1
# Calculated formation energy, eV/atom: -0.457
# Energy above the most stable polymorph in this dataset, meV/atom: 0
# Size of the total moment, μB per formula unit: 4.855

=====

Entry 3:
# TbMnPd, relaxed, DFT GGA-PBE
data_TbMnPd
_chemical_formula_sum 'Tb4 Mn4 Pd4'
_cell_length_a 4.076
_cell_length_b 4.076
_cell_length_c 14.625
_cell_angle_alpha 90.00
_cell_angle_beta 90.00
_cell_angle_gamma 90.00
_space_group_name_H-M_alt 'I 4/m m m'
_space_group_IT_number 139
_space_group_name_Hall '-I 4 2'
loop_
_atom_site_label
_atom_site_type_symbol
_atom_site_fract_x
_atom_site_fract_y
_atom_site_fract_z
_atom_site_occupancy
Tb1 Tb 0.000 0.000 0.167 1
Mn1 Mn 0.000 0.500 0.000 1
Pd1 Pd 0.000 0.000 0.376 1
# Calculated formation energy, eV/atom: -0.376
# Size of the total moment, μB per formula unit: 3.953

=====

Entry 4:
# TbMn2Pd9, relaxed, DFT GGA-PBE
data_TbMn2Pd9
_chemical_formula_sum 'Tb1 Mn2 Pd9'
_cell_length_a 4.015
_cell_length_b 4.015
_cell_length_c 11.866
_cell_angle_alpha 90.00
_cell_angle_beta 90.00
_cell_angle_gamma 90.00
_space_group_name_H-M_alt 'P 4/m m m'
_space_group_IT_number 123
_space_group_name_Hall '-P 4 2'
loop_
_atom_site_label
_atom_site_type_symbol
_atom_site_fract_x
_atom_site_fract_y
_atom_site_fract_z
_atom_site_occupancy
Tb1 Tb 0.000 0.000 0.000 1
Mn1 Mn 0.000 0.000 0.341 1
Pd1 Pd 0.000 0.500 0.180 1
Pd2 Pd 0.000 0.500 0.500 1
Pd3 Pd 0.500 0.500 0.000 1
Pd4 Pd 0.500 0.500 0.339 1
# Calculated formation energy, eV/atom: -0.420
# Size of the total moment, μB per formula unit: 8.557

=====

Entry 5:
# Tb2MnPd9, relaxed, DFT GGA-PBE
data_Tb2MnPd9
_chemical_formula_sum 'Tb2 Mn1 Pd9'
_cell_length_a 4.084
_cell_length_b 4.084
_cell_length_c 12.088
_cell_angle_alpha 90.00
_cell_angle_beta 90.00
_cell_angle_gamma 90.00
_space_group_name_H-M_alt 'P 4/m m m'
_space_group_IT_number 123
_space_group_name_Hall '-P 4 2'
loop_
_atom_site_label
_atom_site_type_symbol
_atom_site_fract_x
_atom_site_fract_y
_atom_site_fract_z
_atom_site_occupancy
Tb1 Tb 0.000 0.000 0.174 1
Mn1 Mn 0.000 0.000 0.500 1
Pd1 Pd 0.000 0.500 0.000 1
Pd2 Pd 0.000 0.500 0.346 1
Pd3 Pd 0.500 0.500 0.172 1
Pd4 Pd 0.500 0.500 0.500 1
# Calculated formation energy, eV/atom: -0.633
# Size of the total moment, μB per formula unit: 4.186

=====

Entry 6:
# TbMnPd4, relaxed, DFT GGA-PBE
data_TbMnPd4
_chemical_formula_sum 'Tb1 Mn1 Pd4'
_cell_length_a 3.954
_cell_length_b 3.954
_cell_length_c 7.595
_cell_angle_alpha 90.00
_cell_angle_beta 90.00
_cell_angle_gamma 90.00
_space_group_name_H-M_alt 'P 4/m m m'
_space_group_IT_number 123
_space_group_name_Hall '-P 4 2'
loop_
_atom_site_label
_atom_site_type_symbol
_atom_site_fract_x
_atom_site_fract_y
_atom_site_fract_z
_atom_site_occupancy
Tb1 Tb 0.000 0.000 0.000 1
Mn1 Mn 0.500 0.500 0.500 1
Pd1 Pd 0.000 0.500 0.276 1
# Calculated formation energy, eV/atom: -0.283
# Energy above the most stable polymorph in this dataset, meV/atom: 174
# Size of the total moment, μB per formula unit: 4.506

=====

Entry 7:
# TbTmMnPd, relaxed, DFT GGA-PBE
data_TbTmMnPd
_chemical_formula_sum 'Tb4 Tm4 Mn4 Pd4'
_cell_length_a 7.012
_cell_length_b 7.012
_cell_length_c 7.012
_cell_angle_alpha 90.00
_cell_angle_beta 90.00
_cell_angle_gamma 90.00
_space_group_name_H-M_alt 'F -4 3 m'
_space_group_IT_number 216
_space_group_name_Hall 'F -4 2 3'
loop_
_atom_site_label
_atom_site_type_symbol
_atom_site_fract_x
_atom_site_fract_y
_atom_site_fract_z
_atom_site_occupancy
Tb1 Tb 0.000 0.000 0.000 1
Tm1 Tm 0.000 0.000 0.500 1
Mn1 Mn 0.250 0.250 0.250 1
Pd1 Pd 0.250 0.250 0.750 1
# Calculated formation energy, eV/atom: -0.282
# Size of the total moment, μB per formula unit: 3.324

=====

Entry 8:
# Tb2MnZn2Pd5, relaxed, DFT GGA-PBE
data_Tb2MnZn2Pd5
_chemical_formula_sum 'Tb4 Mn2 Zn4 Pd10'
_cell_length_a 9.655
_cell_length_b 9.655
_cell_length_c 3.782
_cell_angle_alpha 90.00
_cell_angle_beta 90.00
_cell_angle_gamma 90.00
_space_group_name_H-M_alt 'P 4/m b m'
_space_group_IT_number 127
_space_group_name_Hall '-P 4 2ab'
loop_
_atom_site_label
_atom_site_type_symbol
_atom_site_fract_x
_atom_site_fract_y
_atom_site_fract_z
_atom_site_occupancy
Tb1 Tb 0.177 0.323 0.000 1
Mn1 Mn 0.000 0.000 0.000 1
Zn1 Zn 0.121 0.621 0.000 1
Pd1 Pd 0.000 0.500 0.500 1
Pd2 Pd 0.065 0.798 0.500 1
# Calculated formation energy, eV/atom: -0.611
# Size of the total moment, μB per formula unit: 3.987

=====

Entry 9:
# MnTc2Pd, relaxed, DFT GGA-PBE
data_MnTc2Pd
_chemical_formula_sum 'Mn4 Tc8 Pd4'
_cell_length_a 6.076
_cell_length_b 6.076
_cell_length_c 6.076
_cell_angle_alpha 90.00
_cell_angle_beta 90.00
_cell_angle_gamma 90.00
_space_group_name_H-M_alt 'F m -3 m'
_space_group_IT_number 225
_space_group_name_Hall '-F 4 2 3'
loop_
_atom_site_label
_atom_site_type_symbol
_atom_site_fract_x
_atom_site_fract_y
_atom_site_fract_z
_atom_site_occupancy
Mn1 Mn 0.000 0.000 0.000 1
Tc1 Tc 0.250 0.250 0.250 1
Pd1 Pd 0.000 0.000 0.500 1
# Calculated formation energy, eV/atom: 0.436
# Energy above the most stable polymorph in this dataset, meV/atom: 0
# Size of the total moment, μB per formula unit: 0.000

=====

Entry 10:
# MnTc3Pd, relaxed, DFT GGA-PBE
data_MnTc3Pd
_chemical_formula_sum 'Mn1 Tc3 Pd1'
_cell_length_a 4.371
_cell_length_b 4.371
_cell_length_c 4.371
_cell_angle_alpha 90.00
_cell_angle_beta 90.00
_cell_angle_gamma 90.00
_space_group_name_H-M_alt 'P m -3 m'
_space_group_IT_number 221
_space_group_name_Hall '-P 4 2 3'
loop_
_atom_site_label
_atom_site_type_symbol
_atom_site_fract_x
_atom_site_fract_y
_atom_site_fract_z
_atom_site_occupancy
Mn1 Mn 0.000 0.000 0.000 1
Tc1 Tc 0.000 0.000 0.500 1
Pd1 Pd 0.500 0.500 0.500 1
# Calculated formation energy, eV/atom: 1.149
# Energy above the most stable polymorph in this dataset, meV/atom: 0
# Size of the total moment, μB per formula unit: 0.000

=====

Entry 11:
# MnTc2Pd, relaxed, DFT GGA-PBE
data_MnTc2Pd
_chemical_formula_sum 'Mn4 Tc8 Pd4'
_cell_length_a 3.650
_cell_length_b 3.650
_cell_length_c 18.957
_cell_angle_alpha 90.00
_cell_angle_beta 90.00
_cell_angle_gamma 90.00
_space_group_name_H-M_alt 'I -4 2 d'
_space_group_IT_number 122
_space_group_name_Hall 'I -4 2bw'
loop_
_atom_site_label
_atom_site_type_symbol
_atom_site_fract_x
_atom_site_fract_y
_atom_site_fract_z
_atom_site_occupancy
Mn1 Mn 0.000 0.000 0.000 1
Tc1 Tc 0.222 0.250 0.125 1
Pd1 Pd 0.000 0.000 0.500 1
# Calculated formation energy, eV/atom: 0.477
# Energy above the most stable polymorph in this dataset, meV/atom: 41
# Size of the total moment, μB per formula unit: 3.668

=====

Entry 12:
# Mn4TcPd, relaxed, DFT GGA-PBE
data_Mn4TcPd
_chemical_formula_sum 'Mn16 Tc4 Pd4'
_cell_length_a 6.649
_cell_length_b 6.649
_cell_length_c 6.649
_cell_angle_alpha 90.00
_cell_angle_beta 90.00
_cell_angle_gamma 90.00
_space_group_name_H-M_alt 'F -4 3 m'
_space_group_IT_number 216
_space_group_name_Hall 'F -4 2 3'
loop_
_atom_site_label
_atom_site_type_symbol
_atom_site_fract_x
_atom_site_fract_y
_atom_site_fract_z
_atom_site_occupancy
Mn1 Mn 0.124 0.124 0.376 1
Tc1 Tc 0.000 0.000 0.000 1
Pd1 Pd 0.250 0.250 0.750 1
# Calculated formation energy, eV/atom: 0.057
# Size of the total moment, μB per formula unit: 3.069

=====

no.,final energy (eV per atom)
1,-6.278
2,-6.219
3,-6.707
4,-6.228
5,-6.063
6,-6.045
7,-6.148
8,-5.305
9,-8.337
10,-7.943
11,-8.296
12,-8.649